V2NiBiS (PBE, relaxed); formation energy from raw total energies = 1384 meV per atom; crystal system = tetragonal
1.0
-3.4633 -3.7632 -1.1879
3.3578 -2.3837 -2.2382
1.1929 -2.5049 4.4575
Ni V S Bi
1 2 1 1
direct
0.0000 0.5000 0.0000
0.5000 0.0000 0.0000
0.0000 0.0000 0.5000
0.5000 0.5000 0.5000
0.0000 0.0000 0.0000

=====

Er8Si3Te4As (PBE, relaxed); formation energy from raw total energies = -1186 meV per atom; crystal system = trigonal
1.0
8.3668 0.0000 0.0000
0.0000 8.5207 0.1026
-4.1834 -4.1792 5.9189
Si Er Te As
3 8 4 1
direct
0.0000 0.5000 0.5000
0.5000 0.5000 0.5000
0.5000 0.5000 0.0000
0.2411 0.7169 0.4823
0.2606 0.2819 0.5213
0.7347 0.7169 0.9758
0.2411 0.7169 0.9758
0.7589 0.2831 0.0242
0.2653 0.2831 0.0242
0.7394 0.7181 0.4787
0.7589 0.2831 0.5177
0.0000 0.0000 0.0000
0.5000 0.0000 0.0000
0.0000 0.0000 0.5000
0.5000 0.0000 0.5000
0.0000 0.5000 0.0000

=====

SrLiAcZn (PBE, relaxed); formation enthalpy at 0 K = -94.6 meV/atom; offset from the most stable computed form = 0 meV per atom; crystal system = tetragonal
1.0
3.9954 0.0000 0.0000
0.0000 3.9954 0.0000
0.0000 0.0000 8.0733
Sr Zn Ac Li
1 1 1 1
direct
0.0000 0.0000 0.3731
0.5000 0.5000 0.6141
0.0000 0.0000 0.8381
0.5000 0.5000 0.1027

=====

LiBi2AuCl (PBE, relaxed); formation energy from raw total energies = 456 meV per atom; crystal system = tetragonal
1.0
5.5938 0.0000 0.0000
0.0000 5.0163 0.0000
0.0000 0.0000 5.5938
Au Cl Bi Li
1 1 2 1
direct
0.0000 0.5000 0.0000
0.0000 0.0000 0.0000
0.5000 0.0000 0.0000
0.0000 0.0000 0.5000
0.5000 0.5000 0.5000

=====

TaTl2Os (PBE, relaxed); formation enthalpy at 0 K = 800.4 meV/atom; offset from the most stable computed form = 501 meV per atom; crystal system = monoclinic
1.0
5.7561 0.2227 0.6510
4.8048 3.1774 0.6510
1.8050 0.5811 4.8164
Ta Tl Os
1 2 1
direct
0.2500 0.2500 0.2500
0.4879 0.4879 0.5123
0.0121 0.0121 0.9877
0.7500 0.7500 0.7500

=====

Th2Zn3In (PBE, relaxed); formation enthalpy at 0 K = -276.0 meV/atom; offset from the most stable computed form = 0 meV per atom; crystal system = orthorhombic
1.0
-4.5783 2.2234 -3.1311
-2.4711 -4.7959 2.5693
1.3892 5.7625 6.5822
Zn In Th
6 2 4
direct
0.1627 0.1627 0.3254
0.6742 0.1641 0.8383
0.1641 0.6742 0.8383
0.3258 0.8359 0.1617
0.8359 0.3258 0.1617
0.8373 0.8373 0.6746
0.3344 0.3344 0.6688
0.6656 0.6656 0.3312
0.2432 0.2432 0.0000
0.2500 0.7500 0.5000
0.7568 0.7568 0.0000
0.7500 0.2500 0.5000

=====

MgMoP2Cl (PBE, relaxed); formation energy from raw total energies = 896 meV per atom; offset from the most stable computed form = 797 meV per atom; crystal system = tetragonal
1.0
4.8172 0.0000 0.0000
0.0000 4.8172 0.0000
0.0000 0.0000 4.6754
P Cl Mg Mo
2 1 1 1
direct
0.0000 0.5000 0.0000
0.5000 0.0000 0.0000
0.0000 0.0000 0.5000
0.0000 0.0000 0.0000
0.5000 0.5000 0.5000

=====

PRhCCl2 (PBE, relaxed); formation energy from raw total energies = 1428 meV per atom; offset from the most stable computed form = 0 meV per atom; crystal system = tetragonal
1.0
4.3309 0.0000 0.0000
0.0000 4.3309 0.0000
0.0000 0.0000 4.0298
C Cl P Rh
1 2 1 1
direct
0.0000 0.0000 0.0000
0.5000 0.0000 0.0000
0.0000 0.5000 0.0000
0.0000 0.0000 0.5000
0.5000 0.5000 0.5000